# PBE with a Hubbard U Ta2MnO, optimized geometry
data_Ta2MnO
_chemical_formula_sum 'Ta4 Mn2 O2'
_space_group_name_H-M_alt 'P 1'
_space_group_IT_number 1
_space_group_name_Hall 'P 1'
_cell_length_a 6.195
_cell_length_b 6.195
_cell_length_c 5.340
_cell_angle_alpha 54.54
_cell_angle_beta 54.54
_cell_angle_gamma 90.00
loop_
_atom_site_label
_atom_site_type_symbol
_atom_site_fract_x
_atom_site_fract_y
_atom_site_fract_z
_atom_site_occupancy
Mn1 Mn 0.000 0.000 0.000 1
Mn2 Mn 0.750 0.250 0.500 1
O1 O 0.500 0.500 0.000 1
O2 O 0.250 0.750 0.500 1
Ta1 Ta 0.557 0.125 0.250 1
Ta2 Ta 0.193 0.625 0.250 1
Ta3 Ta 0.375 0.443 0.750 1
Ta4 Ta 0.875 0.807 0.750 1
# calculated total energy: -8.749 eV/atom
# magnetization: 0.018 μB/atom
# density: 12.27 g/cm3